The following is a DFT calculation (PBE) of a relaxed PmDy2Y3Er6 crystal.

## Properties
magnetic moment = 0.000 μB per atom
final energy = -5.04 eV per atom
space-group type = No. 12
N(E_F) = 16.82 states/eV per cell

Lattice parameters (Å, degrees): 6.131 6.131 11.730 94.99 94.99 119.95
Fractional positions:
Pm 0.000 0.000 0.000
Dy 0.333 0.667 0.000
Dy 0.667 0.333 0.000
Y 0.167 0.833 0.500
Y 0.500 0.500 0.500
Y 0.833 0.167 0.500
Er 0.084 0.418 0.250
Er 0.250 0.250 0.750
Er 0.418 0.084 0.250
Er 0.582 0.916 0.750
Er 0.750 0.750 0.250
Er 0.916 0.582 0.750

The following is a DFT calculation (PBE) of a relaxed Sr3SmTh2Bi6 crystal.

## Properties
magnetic moment = 0.000 μB per atom
final energy = -4.78 eV per atom
space-group type = No. 12
N(E_F) = 6.78 states/eV per cell

Lattice parameters (Å, degrees): 8.118 8.118 8.277 99.41 99.41 120.01
Fractional positions:
Sr 0.000 0.000 0.000
Sr 0.333 0.667 0.000
Sr 0.667 0.333 0.000
Sm 0.500 0.500 0.500
Th 0.167 0.833 0.500
Th 0.833 0.167 0.500
Bi 0.089 0.423 0.268
Bi 0.244 0.244 0.732
Bi 0.423 0.089 0.268
Bi 0.577 0.911 0.732
Bi 0.756 0.756 0.268
Bi 0.911 0.577 0.732

The following is a DFT calculation (PBE) of a relaxed DyTm3In3 crystal.

## Properties
magnetic moment = 0.000 μB per atom
final energy = -4.04 eV per atom
space-group type = No. 198
N(E_F) = 24.44 states/eV per cell

Lattice parameters (Å, degrees): 9.222 9.222 9.222 90.00 90.00 90.00
Fractional positions:
Dy 0.054 0.446 0.554
Dy 0.446 0.554 0.054
Dy 0.554 0.054 0.446
Dy 0.946 0.946 0.946
Tm 0.112 0.612 0.888
Tm 0.168 0.168 0.168
Tm 0.197 0.803 0.303
Tm 0.303 0.197 0.803
Tm 0.332 0.832 0.668
Tm 0.388 0.388 0.388
Tm 0.612 0.888 0.112
Tm 0.668 0.332 0.832
Tm 0.697 0.697 0.697
Tm 0.803 0.303 0.197
Tm 0.832 0.668 0.332
Tm 0.888 0.112 0.612
In 0.006 0.792 0.605
In 0.105 0.494 0.208
In 0.208 0.105 0.494
In 0.292 0.895 0.994
In 0.395 0.506 0.708
In 0.494 0.208 0.105
In 0.506 0.708 0.395
In 0.605 0.006 0.792
In 0.708 0.395 0.506
In 0.792 0.605 0.006
In 0.895 0.994 0.292
In 0.994 0.292 0.895

The following is a DFT calculation (PBE) of a relaxed Pu2CS crystal.

## Properties
magnetic moment = 2.471 μB per atom
formation energy without anion corrections = -81.6 kJ/mol of atoms
final energy = -11.35 eV per atom
space-group type = No. 166
N(E_F) = 13.54 states/eV per cell

Lattice parameters (Å, degrees): 6.660 6.660 6.660 32.49 32.49 32.49
Fractional positions:
Pu 0.238 0.238 0.238
Pu 0.762 0.762 0.762
C 0.500 0.500 0.500
S 0.000 0.000 0.000

The following is a DFT calculation (PBE) of a relaxed CsTaS3 crystal.

## Properties
magnetic moment = 0.000 μB per atom
formation energy without anion corrections = -111.2 kJ/mol of atoms
final energy = -6.17 eV per atom
space-group type = No. 186

Lattice parameters (Å, degrees): 7.541 7.541 6.053 90.00 90.00 120.00
Fractional positions:
Cs 0.333 0.667 0.000
Cs 0.667 0.333 0.500
Ta 0.000 0.000 0.300
Ta 0.000 0.000 0.800
S 0.151 0.303 0.503
S 0.151 0.849 0.503
S 0.303 0.151 0.003
S 0.697 0.849 0.503
S 0.849 0.151 0.003
S 0.849 0.697 0.003

The following is a DFT calculation (PBE) of a relaxed Ba2SiSb crystal.

## Properties
magnetic moment = 0.000 μB per atom
formation energy without anion corrections = -40.9 kJ/mol of atoms
final energy = -3.77 eV per atom
space-group type = No. 47
N(E_F) = 3.33 states/eV per cell

Lattice parameters (Å, degrees): 4.023 4.616 7.471 90.00 90.00 90.00
Fractional positions:
Ba 0.000 0.000 0.241
Ba 0.000 0.000 0.759
Si 0.500 0.500 0.000
Sb 0.500 0.500 0.500

The following is a DFT calculation (PBE) of a relaxed CsFe2Pt crystal.

## Properties
magnetic moment = 1.451 μB per atom
final energy = -4.75 eV per atom
space-group type = No. 225
N(E_F) = 4.58 states/eV per cell

Lattice parameters (Å, degrees): 4.730 4.730 4.730 60.00 60.00 60.00
Fractional positions:
Cs 0.000 0.000 0.000
Fe 0.250 0.250 0.250
Fe 0.750 0.750 0.750
Pt 0.500 0.500 0.500

The following is a DFT calculation (PBE) of a relaxed B2C crystal.

## Properties
magnetic moment = 0.000 μB per atom
final energy = -7.09 eV per atom
space-group type = No. 2
N(E_F) = 1.89 states/eV per cell

Lattice parameters (Å, degrees): 3.530 4.608 5.505 68.85 88.93 78.14
Fractional positions:
B 0.033 0.237 0.182
B 0.329 0.151 0.912
B 0.329 0.173 0.505
B 0.373 0.587 0.344
B 0.627 0.413 0.656
B 0.671 0.827 0.495
B 0.671 0.849 0.088
B 0.967 0.763 0.818
C 0.010 0.126 0.717
C 0.341 0.481 0.917
C 0.659 0.519 0.083
C 0.990 0.874 0.283

The following is a DFT calculation (PBE) of a relaxed Ac12La7Sm crystal.

## Properties
magnetic moment = 0.000 μB per atom
final energy = -4.25 eV per atom
space-group type = No. 148
N(E_F) = 27.43 states/eV per cell

Lattice parameters (Å, degrees): 12.326 12.326 12.326 116.76 116.76 116.76
Fractional positions:
Ac 0.000 0.412 0.588
Ac 0.000 0.588 0.412
Ac 0.071 0.420 0.072
Ac 0.072 0.071 0.420
Ac 0.412 0.000 0.588
Ac 0.412 0.588 0.000
Ac 0.420 0.072 0.071
Ac 0.580 0.928 0.929
Ac 0.588 0.000 0.412
Ac 0.588 0.412 0.000
Ac 0.928 0.929 0.580
Ac 0.929 0.580 0.928
La 0.000 0.000 0.000
La 0.137 0.382 0.383
La 0.382 0.383 0.137
La 0.383 0.137 0.382
La 0.617 0.863 0.618
La 0.618 0.617 0.863
La 0.863 0.618 0.617
Sm 0.500 0.500 0.500

The following is a DFT calculation (PBE) of a relaxed TaTi2Nb2Rh5 crystal.

## Properties
magnetic moment = 0.000 μB per atom
final energy = -8.80 eV per atom
space-group type = No. 127
N(E_F) = 17.44 states/eV per cell

Lattice parameters (Å, degrees): 9.130 9.130 3.844 90.00 90.00 90.00
Fractional positions:
Ta 0.000 0.000 0.000
Ta 0.500 0.500 0.000
Ti 0.123 0.377 0.000
Ti 0.377 0.877 0.000
Ti 0.623 0.123 0.000
Ti 0.877 0.623 0.000
Nb 0.177 0.677 0.000
Nb 0.323 0.177 0.000
Nb 0.677 0.823 0.000
Nb 0.823 0.323 0.000
Rh 0.000 0.500 0.500
Rh 0.064 0.202 0.500
Rh 0.202 0.936 0.500
Rh 0.298 0.436 0.500
Rh 0.436 0.702 0.500
Rh 0.500 0.000 0.500
Rh 0.564 0.298 0.500
Rh 0.702 0.564 0.500
Rh 0.798 0.064 0.500
Rh 0.936 0.798 0.500